(1)
## LaPrTmSc (PBE-GGA)

Data for an optimized crystal structure of LaPrTmSc.

Values from the calculation:
Its formation enthalpy at 0 K is 68 meV/atom. The density of states at the Fermi level is 1.4345 states/eV per atom. The calculation puts the total moment at 0.0 μB/f.u.

a b c (Å): 4.046 4.046 7.794
angles (deg): 90.00 90.00 90.00
Space group P4mm (No. 99)
Symmetry-distinct sites (fractional):
La 0.000 0.000 0.000 (multiplicity 1)
Pr 0.000 0.000 0.474 (multiplicity 1)
Tm 0.500 0.500 0.734 (multiplicity 1)
Sc 0.500 0.500 0.241 (multiplicity 1)

(2)
## CrNiCl2 (PBE-GGA)

Data for an optimized crystal structure of CrNiCl2.

Values from the calculation:
The density of states at the Fermi level is 0.7651 states/eV per atom. The calculation puts the total moment at 4.0 μB/f.u. The raw formation energy comes out at 0.031 eV/atom.

a b c (Å): 3.8320 3.8320 15.8845
angles (deg): 90.00 90.00 120.00
Space group R-3m (No. 166, hexagonal axes)
Symmetry-distinct sites (fractional):
Cr 0.0000 0.0000 0.0000 (multiplicity 3)
Ni 0.0000 0.0000 0.5000 (multiplicity 3)
Cl 0.0000 0.0000 0.2447 (multiplicity 6)

(3)
## K4CaCe3O8 (PBE-GGA)

Data for an optimized crystal structure of K4CaCe3O8.

Values from the calculation:
The density of states at the Fermi level is 0.5626 states/eV per atom. The calculation puts the total moment at 2.0 μB/f.u. The raw formation energy comes out at -2.615 eV/atom.

a b c (Å): 7.2141 7.2141 18.7663
angles (deg): 90.00 90.00 120.00
Space group R-3m (No. 166, hexagonal axes)
Symmetry-distinct sites (fractional):
K 0.0000 0.0000 0.0000 (multiplicity 3)
K 0.0000 0.5000 0.0000 (multiplicity 9)
Ca 0.0000 0.0000 0.5000 (multiplicity 3)
Ce 0.0000 0.5000 0.5000 (multiplicity 9)
O 0.0000 0.0000 0.2307 (multiplicity 6)
O 0.0107 0.5053 0.7710 (multiplicity 18)

(4)
## Ce4SnIr2 (PBE-GGA)

Data for an optimized crystal structure of Ce4SnIr2.

Values from the calculation:
Its formation enthalpy at 0 K is -543 meV/atom. The density of states at the Fermi level is 2.6782 states/eV per atom. The calculation puts the total moment at 3.5 μB/f.u.

a b c (Å): 4.4332 4.4332 33.4467
angles (deg): 90.00 90.00 120.00
Space group R-3m (No. 166, hexagonal axes)
Symmetry-distinct sites (fractional):
Ce 0.0000 0.0000 0.1109 (multiplicity 6)
Ce 0.0000 0.0000 0.3018 (multiplicity 6)
Sn 0.0000 0.0000 0.5000 (multiplicity 3)
Ir 0.0000 0.0000 0.4023 (multiplicity 6)

(5)
## Mg2SbPd4 (PBE-GGA)

Data for an optimized crystal structure of Mg2SbPd4.

Values from the calculation:
The density of states at the Fermi level is 0.4194 states/eV per atom. The calculation puts the total moment at 0.0 μB/f.u. The raw formation energy comes out at -0.487 eV/atom.

a b c (Å): 5.942 5.429 8.077
angles (deg): 90.00 107.41 90.00
Space group P2_1/m (No. 11)
Symmetry-distinct sites (fractional):
Mg 0.159 0.250 0.068 (multiplicity 2)
Mg 0.180 0.250 0.500 (multiplicity 2)
Sb 0.291 0.750 0.314 (multiplicity 2)
Pd 0.115 0.502 0.772 (multiplicity 4)
Pd 0.447 0.750 0.041 (multiplicity 2)
Pd 0.452 0.750 0.662 (multiplicity 2)

(6)
## Ba2NaHPd (PBE-GGA)

Data for an optimized crystal structure of Ba2NaHPd.

Values from the calculation:
The value obtained for the total energy is -3.00 eV per atom. The density of states at the Fermi level is 0.2213 states/eV per atom. The calculation puts the total moment at 0.0 μB/f.u.

a b c (Å): 5.529 5.529 4.542
angles (deg): 90.00 90.00 90.00
Space group P4/mmm (No. 123)
Symmetry-distinct sites (fractional):
Ba 0.000 0.500 0.000 (multiplicity 2)
Na 0.000 0.000 0.500 (multiplicity 1)
H 0.000 0.000 0.000 (multiplicity 1)
Pd 0.500 0.500 0.500 (multiplicity 1)

(7)
## BaLaY2 (PBE-GGA)

Data for an optimized crystal structure of BaLaY2.

Values from the calculation:
Its formation enthalpy at 0 K is 135 meV/atom. The density of states at the Fermi level is 1.2078 states/eV per atom. The calculation puts the total moment at 0.0 μB/f.u.

a b c (Å): 3.7567 3.7567 36.8077
angles (deg): 90.00 90.00 120.00
Space group R-3m (No. 166, hexagonal axes)
Symmetry-distinct sites (fractional):
Ba 0.0000 0.0000 0.0000 (multiplicity 3)
La 0.0000 0.0000 0.5000 (multiplicity 3)
Y 0.0000 0.0000 0.2445 (multiplicity 6)

(8)
## TiNbTe2N (PBE-GGA)

Data for an optimized crystal structure of TiNbTe2N.

Values from the calculation:
The density of states at the Fermi level is 0.7932 states/eV per atom. The calculation puts the total moment at 1.8 μB/f.u. The raw formation energy comes out at 0.194 eV/atom.

a b c (Å): 5.566 5.566 3.883
angles (deg): 90.00 90.00 90.00
Space group P4/mmm (No. 123)
Symmetry-distinct sites (fractional):
Ti 0.000 0.000 0.000 (multiplicity 1)
Nb 0.500 0.500 0.500 (multiplicity 1)
Te 0.000 0.500 0.500 (multiplicity 2)
N 0.500 0.500 0.000 (multiplicity 1)